[1]
Computed, not measured: a relaxed AlCu2H2 crystal at the PBE level of DFT.

Calculated values
E, eV per atom: -3.459
Energy above the lowest structure with this stoichiometry, meV/atom: 0.0

POSCAR file:
```
AlCu2H2
1.0
6.325 0.000 0.000
0.000 6.325 0.000
0.000 0.000 2.563
Cu H Al
4 4 2
direct
0.357 0.143 0.500
0.857 0.357 0.500
0.143 0.643 0.500
0.643 0.857 0.500
0.257 0.757 0.000
0.743 0.243 0.000
0.757 0.743 0.000
0.243 0.257 0.000
0.000 0.000 0.000
0.500 0.500 0.000
```

[2]
Computed, not measured: a relaxed AlCu2H crystal at the PBE level of DFT.

Calculated values
E, eV per atom: -3.355
Energy above the lowest structure with this stoichiometry, meV/atom: 314.1

POSCAR file:
```
AlCu2H
1.0
0.000 2.849 2.849
2.849 0.000 2.849
2.849 2.849 0.000
Cu H Al
2 1 1
direct
0.250 0.250 0.250
0.750 0.750 0.750
0.000 0.000 0.000
0.500 0.500 0.500
```

[3]
Computed, not measured: a relaxed Al2CuH2 crystal at the PBE level of DFT.

Calculated values
E, eV per atom: -3.174
Energy above the lowest structure with this stoichiometry, meV/atom: 166.4

POSCAR file:
```
Al2CuH2
1.0
-1.069 5.405 -3.814
-6.613 -0.768 0.765
0.069 1.486 2.087
Al H Cu
4 4 2
direct
0.859 0.641 0.000
0.141 0.359 0.000
0.359 0.859 0.000
0.641 0.141 0.000
0.396 0.104 0.500
0.896 0.396 0.500
0.104 0.604 0.500
0.604 0.896 0.500
0.500 0.500 0.000
0.000 0.000 0.000
```

[4]
Computed, not measured: a relaxed AlCuH2 crystal at the PBE level of DFT.

Calculated values
E, eV per atom: -3.273
Energy above the lowest structure with this stoichiometry, meV/atom: 0.0

POSCAR file:
```
AlCuH2
1.0
-1.173 -3.582 2.363
-0.097 -2.427 -3.727
3.223 -3.934 -0.177
Al H Cu
2 4 2
direct
0.500 0.500 0.000
0.250 0.750 0.500
0.875 0.952 0.750
0.702 0.125 0.250
0.048 0.625 0.250
0.375 0.298 0.750
0.000 0.000 0.000
0.750 0.250 0.500
```

[5]
Computed, not measured: a relaxed AlCu3H crystal at the PBE level of DFT.

Calculated values
E, eV per atom: -2.667
Energy above the lowest structure with this stoichiometry, meV/atom: 1209.3

POSCAR file:
```
AlCu3H
1.0
4.603 0.000 0.000
0.000 4.603 0.000
0.000 0.000 4.603
H Cu Al
1 3 1
direct
0.500 0.500 0.500
0.000 0.000 0.500
0.500 0.000 0.000
0.000 0.500 0.000
0.000 0.000 0.000
```

[6]
Computed, not measured: a relaxed AlCu2H crystal at the PBE level of DFT.

Calculated values
E, eV per atom: -3.669
Energy above the lowest structure with this stoichiometry, meV/atom: 0.0

POSCAR file:
```
AlCu2H
1.0
5.266 0.000 0.000
0.000 5.266 0.000
2.633 2.633 3.333
Cu Al H
4 2 2
direct
0.375 0.511 0.750
0.261 0.625 0.250
0.489 0.125 0.250
0.875 0.739 0.750
0.000 0.000 0.000
0.750 0.250 0.500
0.250 0.750 0.500
0.500 0.500 0.000
```

The lowest E belongs to which entry?
number 6

What is the E in the sixth record?
-3.669 eV per atom

What is the energy above the lowest structure with this stoichiometry in the second record?
314.1 meV/atom

Number 6 is which compound?
AlCu2H